Arrangement P

Crystalline BaSbTe2N at its relaxed geometry. Source: Alexandria via LeMat-Bulk, functional PBE.

Cell lengths 6.6124, 6.6124, 6.6367 Å; angles 90.00, 90.00, 90.00 degrees
Fractional coordinates of all 5 atoms:
Ba1 0.0000 0.0000 0.0000
Sb1 0.0000 0.0000 0.5000
Te1 0.0000 0.5000 0.0000
Te2 0.5000 0.0000 0.0000
N1 0.5000 0.5000 0.5000

Values from the calculation:
D(E_F) (states/eV/f.u.): 7.79
SG: P4/mmm
Size of the total moment (μB/cell): 4.28



Arrangement Q

Crystalline BaSbTe2N at its relaxed geometry. Source: Alexandria via LeMat-Bulk, functional PBE.

Cell lengths 5.3158, 5.3158, 4.6869 Å; angles 90.00, 90.00, 90.00 degrees
Fractional coordinates of all 5 atoms:
Ba1 0.0000 0.0000 0.0000
Sb1 0.5000 0.5000 0.0000
Te1 0.0000 0.5000 0.5000
Te2 0.5000 0.0000 0.5000
N1 0.5000 0.5000 0.5000

Values from the calculation:
D(E_F) (states/eV/f.u.): 4.74
SG: P4/mmm
Size of the total moment (μB/cell): 0.00



Stability check: which of them is most stable? arrangement Q.